Entry 1:
First-principles (PBE) data for a relaxed Sc6Ru5Pb crystal, as listed in Alexandria via LeMat-Bulk.

a b c (Å): 7.9770 7.9770 7.9770
angles (deg): 146.43 130.65 61.01
Closest atoms and distances in Å follow each position.
Fractional coordinates of all 12 atoms:
Sc: 0.0616 0.3249 0.7367  7 Ru 2.73-2.90, 1 Pb 2.98
Sc: 0.2235 0.0000 0.2235  6 Ru 2.74-2.90, 2 Pb 2.95, 1 Sc 2.98
Sc: 0.4118 0.6751 0.7367  7 Ru 2.73-2.90, 1 Pb 2.98
Sc: 0.5882 0.3249 0.2633  7 Ru 2.73-2.90, 1 Pb 2.98
Sc: 0.7765 0.0000 0.7765  6 Ru 2.74-2.90, 2 Pb 2.95, 1 Sc 2.98
Sc: 0.9384 0.6751 0.2633  7 Ru 2.73-2.90, 1 Pb 2.98
Ru: 0.0000 0.5000 0.5000  8 Sc 2.74-2.88
Ru: 0.1679 0.1679 0.0000  8 Sc 2.75-2.79
Ru: 0.3372 0.8372 0.5000  8 Sc 2.73-2.90
Ru: 0.6628 0.1628 0.5000  8 Sc 2.73-2.90
Ru: 0.8321 0.8321 0.0000  8 Sc 2.75-2.79
Pb: 0.5000 0.5000 0.0000  8 Sc 2.95-2.98, 4 Ru 3.21

Output
* space group: Immm
* energy of formation from the pure elements: -0.537 eV per atom
* E: -94.515 eV per cell
* crystal system: orthorhombic



Entry 2:
First-principles (PBE) data for a relaxed Sn4BiSb crystal, as listed in Alexandria via LeMat-Bulk.

a b c (Å): 3.0875 5.7590 9.9386
angles (deg): 90.00 91.29 90.00
Closest atoms and distances in Å follow each position.
Fractional coordinates of all 6 atoms:
Sn: 0.0038 0.0000 0.3272  5 Sn 3.09-3.44, 1 Sb 3.25, 2 Bi 3.35
Sn: 0.0053 0.5000 0.1638  5 Sn 3.09-3.31, 2 Sb 3.31, 1 Bi 3.34
Sn: 0.9947 0.5000 0.8362  5 Sn 3.09-3.31, 2 Sb 3.31, 1 Bi 3.34
Sn: 0.9962 0.0000 0.6728  5 Sn 3.09-3.44, 1 Sb 3.25, 2 Bi 3.35
Bi: 0.0000 0.5000 0.5000  2 Bi 3.09, 6 Sn 3.34-3.35
Sb: 0.0000 0.0000 0.0000  2 Sb 3.09, 6 Sn 3.25-3.31

Output
* space group: P2/m
* E: -23.672 eV per cell
* crystal system: monoclinic



Entry 3:
First-principles (PBE) data for a relaxed La8Tb3Pm2 crystal, as listed in Alexandria via LeMat-Bulk.

a b c (Å): 11.1043 11.1043 5.8583
angles (deg): 90.02 90.02 40.84
Closest atoms and distances in Å follow each position.
Fractional coordinates of all 13 atoms:
La: 0.0971 0.6954 0.9997  1 La 3.11, 1 Tb 3.17
La: 0.1738 0.1738 0.5010  2 Pm 3.42-3.43, 4 La 3.62-3.63
La: 0.3046 0.9029 0.0003  1 La 3.11, 1 Tb 3.17
La: 0.3685 0.3685 0.5004  2 Tb 3.50, 2 Pm 3.70-3.71, 4 La 3.78
La: 0.6315 0.6315 0.4996  2 Tb 3.50, 2 Pm 3.70-3.71, 4 La 3.78
La: 0.6954 0.0971 0.9997  1 La 3.11, 1 Tb 3.17
La: 0.8262 0.8262 0.4990  2 Pm 3.42-3.43, 4 La 3.62-3.63
La: 0.9029 0.3046 0.0003  1 La 3.11, 1 Tb 3.17
Tb: 0.2186 0.7814 0.5000  3 Tb 3.39-3.65, 6 La 3.50-3.64
Tb: 0.5000 0.5000 0.0000  4 La 3.17
Tb: 0.7814 0.2186 0.5000  3 Tb 3.39-3.65, 6 La 3.50-3.64
Pm: 0.2592 0.2592 0.0013  8 La 3.42-3.71
Pm: 0.7408 0.7408 0.9987  8 La 3.42-3.71

Output
* space group: C2/m
* relative energy among the computed polymorphs: 0.034 eV per atom
* energy of formation from the pure elements: 0.174 eV per atom
* E: -60.550 eV per cell
* crystal system: monoclinic



Entry 4:
First-principles (PBE) data for a relaxed LuZrNiRh crystal, as listed in Alexandria via LeMat-Bulk.

a b c (Å): 6.6068 6.6068 6.6068
angles (deg): 90.00 90.00 90.00
Closest atoms and distances in Å follow each position.
Fractional coordinates of all 16 atoms:
Lu: 0.0000 0.0000 0.0000  4 Ni 2.86, 4 Rh 2.86
Lu: 0.0000 0.5000 0.5000  4 Ni 2.86, 4 Rh 2.86
Lu: 0.5000 0.0000 0.5000  4 Ni 2.86, 4 Rh 2.86
Lu: 0.5000 0.5000 0.0000  4 Ni 2.86, 4 Rh 2.86
Zr: 0.0000 0.0000 0.5000  4 Ni 2.86, 4 Rh 2.86
Zr: 0.0000 0.5000 0.0000  4 Ni 2.86, 4 Rh 2.86
Zr: 0.5000 0.0000 0.0000  4 Ni 2.86, 4 Rh 2.86
Zr: 0.5000 0.5000 0.5000  4 Ni 2.86, 4 Rh 2.86
Ni: 0.2500 0.2500 0.7500  4 Zr 2.86, 4 Lu 2.86
Ni: 0.2500 0.7500 0.2500  4 Zr 2.86, 4 Lu 2.86
Ni: 0.7500 0.2500 0.2500  4 Zr 2.86, 4 Lu 2.86
Ni: 0.7500 0.7500 0.7500  4 Lu 2.86, 4 Zr 2.86
Rh: 0.2500 0.2500 0.2500  4 Zr 2.86, 4 Lu 2.86
Rh: 0.2500 0.7500 0.7500  4 Zr 2.86, 4 Lu 2.86
Rh: 0.7500 0.2500 0.7500  4 Zr 2.86, 4 Lu 2.86
Rh: 0.7500 0.7500 0.2500  4 Zr 2.86, 4 Lu 2.86

Output
* space group: F-43m
* energy of formation from the pure elements: -0.623 eV per atom
* E: -114.778 eV per cell
* crystal system: cubic



Entry 5:
First-principles (PBE) data for a relaxed RbCrGe2 crystal, as listed in Alexandria via LeMat-Bulk.

a b c (Å): 7.1585 7.1585 7.1585
angles (deg): 90.00 90.00 90.00
Closest atoms and distances in Å follow each position.
Fractional coordinates of all 16 atoms:
Rb: 0.0000 0.0000 0.0000  8 Ge 3.10
Rb: 0.0000 0.5000 0.5000  8 Ge 3.10
Rb: 0.5000 0.0000 0.5000  8 Ge 3.10
Rb: 0.5000 0.5000 0.0000  8 Ge 3.10
Cr: 0.0000 0.0000 0.5000  8 Ge 3.10
Cr: 0.0000 0.5000 0.0000  8 Ge 3.10
Cr: 0.5000 0.0000 0.0000  8 Ge 3.10
Cr: 0.5000 0.5000 0.5000  8 Ge 3.10
Ge: 0.2500 0.2500 0.2500  4 Rb 3.10, 4 Cr 3.10
Ge: 0.2500 0.2500 0.7500  4 Cr 3.10, 4 Rb 3.10
Ge: 0.2500 0.7500 0.2500  4 Cr 3.10, 4 Rb 3.10
Ge: 0.2500 0.7500 0.7500  4 Rb 3.10, 4 Cr 3.10
Ge: 0.7500 0.2500 0.2500  4 Cr 3.10, 4 Rb 3.10
Ge: 0.7500 0.2500 0.7500  4 Rb 3.10, 4 Cr 3.10
Ge: 0.7500 0.7500 0.2500  4 Rb 3.10, 4 Cr 3.10
Ge: 0.7500 0.7500 0.7500  4 Cr 3.10, 4 Rb 3.10

Output
* space group: Fm-3m
* relative energy among the computed polymorphs: 0.430 eV per atom
* energy of formation from the pure elements: 0.704 eV per atom
* E: -68.040 eV per cell
* crystal system: cubic



Entry 6:
First-principles (PBE) data for a relaxed NaSbTeSe crystal, as listed in Alexandria via LeMat-Bulk.

a b c (Å): 4.2849 4.2849 22.1599
angles (deg): 90.00 90.00 120.00
Closest atoms and distances in Å follow each position.
Fractional coordinates of all 12 atoms:
Na: 0.0000 0.0000 0.0000  3 Se 3.03, 3 Te 3.33
Na: 0.3333 0.6667 0.6667  3 Se 3.03, 3 Te 3.33
Na: 0.6667 0.3333 0.3333  3 Se 3.03, 3 Te 3.33
Sb: 0.0000 0.0000 0.5155  3 Se 2.95, 3 Te 3.07
Sb: 0.3333 0.6667 0.1821  3 Se 2.95, 3 Te 3.07
Sb: 0.6667 0.3333 0.8488  3 Se 2.95, 3 Te 3.07
Te: 0.0000 0.0000 0.7671  3 Sb 3.07, 3 Na 3.33
Te: 0.3333 0.6667 0.4338  3 Sb 3.07, 3 Na 3.33
Te: 0.6667 0.3333 0.1004  3 Sb 3.07, 3 Na 3.33
Se: 0.0000 0.0000 0.2544  3 Sb 2.95, 3 Na 3.03
Se: 0.3333 0.6667 0.9211  3 Sb 2.95, 3 Na 3.03
Se: 0.6667 0.3333 0.5878  3 Sb 2.95, 3 Na 3.03

Output
* space group: R3m
* E: -42.755 eV per cell
* crystal system: trigonal



Entry 7:
First-principles (PBE) data for a relaxed Li3Ta crystal, as listed in Alexandria via LeMat-Bulk.

a b c (Å): 4.8305 4.8305 12.0807
angles (deg): 90.00 90.00 90.00
Closest atoms and distances in Å follow each position.
Fractional coordinates of all 16 atoms:
Li: 0.0000 0.0000 0.1200  9 Li 2.82-2.90
Li: 0.0000 0.0000 0.8800  9 Li 2.82-2.90
Li: 0.0000 0.5000 0.0000  4 Ta 2.71, 6 Li 2.82-3.02
Li: 0.0000 0.5000 0.2500  6 Li 2.88-3.02, 4 Ta 3.00
Li: 0.0000 0.5000 0.5000  4 Ta 2.71, 6 Li 2.82-3.02
Li: 0.0000 0.5000 0.7500  6 Li 2.88-3.02, 4 Ta 3.00
Li: 0.5000 0.0000 0.0000  4 Ta 2.71, 6 Li 2.82-3.02
Li: 0.5000 0.0000 0.2500  6 Li 2.88-3.02, 4 Ta 3.00
Li: 0.5000 0.0000 0.5000  4 Ta 2.71, 6 Li 2.82-3.02
Li: 0.5000 0.0000 0.7500  6 Li 2.88-3.02, 4 Ta 3.00
Li: 0.5000 0.5000 0.3800  9 Li 2.82-2.90
Li: 0.5000 0.5000 0.6200  9 Li 2.82-2.90
Ta: 0.0000 0.0000 0.3979  1 Ta 2.47, 4 Li 2.71
Ta: 0.0000 0.0000 0.6021  1 Ta 2.47, 4 Li 2.71
Ta: 0.5000 0.5000 0.1021  1 Ta 2.47, 4 Li 2.71
Ta: 0.5000 0.5000 0.8979  1 Ta 2.47, 4 Li 2.71

Output
* space group: I4/mmm
* relative energy among the computed polymorphs: 0.391 eV per atom
* energy of formation from the pure elements: 0.600 eV per atom
* E: -60.784 eV per cell
* crystal system: tetragonal